Entry 1:
The following is a GGA-PBE calculation of a geometry-optimized CsNi2SbCl8 structure, from Alexandria.

Lattice parameters (Å, degrees): 10.533 10.533 10.533 36.21 36.21 36.21
Atoms (fractional coordinates):
Cs: 0.000 0.000 0.000
Ni: 0.241 0.241 0.241
Ni: 0.759 0.759 0.759
Sb: 0.500 0.500 0.500
Cl: 0.114 0.778 0.449
Cl: 0.222 0.551 0.886
Cl: 0.315 0.315 0.315
Cl: 0.449 0.114 0.778
Cl: 0.551 0.886 0.222
Cl: 0.685 0.685 0.685
Cl: 0.778 0.449 0.114
Cl: 0.886 0.222 0.551

Total moment: 4.0 μB/cell
Formation energy without anion corrections: -79.8 kJ/mol of atoms



Entry 2:
The following is a GGA-PBE calculation of a geometry-optimized CsSc2NiCl8 structure, from Alexandria.

Lattice parameters (Å, degrees): 10.342 10.342 10.342 37.12 37.12 37.12
Atoms (fractional coordinates):
Cs: 0.000 0.000 0.000
Sc: 0.235 0.235 0.235
Sc: 0.765 0.765 0.765
Ni: 0.500 0.500 0.500
Cl: 0.144 0.762 0.442
Cl: 0.238 0.558 0.856
Cl: 0.317 0.317 0.317
Cl: 0.442 0.144 0.762
Cl: 0.558 0.856 0.238
Cl: 0.683 0.683 0.683
Cl: 0.762 0.442 0.144
Cl: 0.856 0.238 0.558

Total moment: 1.0 μB/cell
Formation energy without anion corrections: -160.7 kJ/mol of atoms



Entry 3:
The following is a GGA-PBE calculation of a geometry-optimized Cs2NiSeCl6 structure, from Alexandria.

Lattice parameters (Å, degrees): 7.328 7.328 7.328 119.21 119.21 91.38
Atoms (fractional coordinates):
Cs: 0.250 0.750 0.500
Cs: 0.750 0.250 0.500
Ni: 0.000 0.000 0.000
Se: 0.500 0.500 0.000
Cl: 0.218 0.218 0.435
Cl: 0.218 0.782 0.000
Cl: 0.263 0.263 0.000
Cl: 0.737 0.737 0.000
Cl: 0.782 0.218 0.000
Cl: 0.782 0.782 0.565

Total moment: 0.3 μB/cell
Formation energy without anion corrections: -95.5 kJ/mol of atoms



Q: Which of these has the highest formation energy without anion corrections?
A: CsNi2SbCl8



Q: Look up the total moment of the second one.
A: 1.0 μB/cell



Q: Which value of formation energy without anion corrections does entry 1 give?
A: -79.8 kJ/mol of atoms



Q: What is the formation energy without anion corrections in the third record?
A: -95.5 kJ/mol of atoms